(1)
# ZrTlHg2, relaxed, DFT PBE
data_ZrTlHg2
_chemical_formula_sum 'Zr1 Tl1 Hg2'
_symmetry_space_group_name_H-M 'P 1'
_symmetry_Int_Tables_number 1
_cell_length_a 4.451
_cell_length_b 4.451
_cell_length_c 4.565
_cell_angle_alpha 90.00
_cell_angle_beta 90.00
_cell_angle_gamma 90.00
loop_
_symmetry_equiv_pos_as_xyz
'x,y,z'
loop_
_atom_site_label
_atom_site_fract_x
_atom_site_fract_y
_atom_site_fract_z
Zr1 0.000 0.000 0.000
Tl1 0.500 0.500 0.000
Hg1 0.000 0.500 0.500
Hg2 0.500 0.000 0.500
# E_form in eV per atom: -0.048
# Crystal system: tetragonal



(2)
# FeTcSCl2, relaxed, DFT PBE
data_FeTcSCl2
_chemical_formula_sum 'Fe1 Tc1 S1 Cl2'
_symmetry_space_group_name_H-M 'P 1'
_symmetry_Int_Tables_number 1
_cell_length_a 4.910
_cell_length_b 4.910
_cell_length_c 4.491
_cell_angle_alpha 90.00
_cell_angle_beta 90.00
_cell_angle_gamma 90.00
loop_
_symmetry_equiv_pos_as_xyz
'x,y,z'
loop_
_atom_site_label
_atom_site_fract_x
_atom_site_fract_y
_atom_site_fract_z
Fe1 0.000 0.000 0.000
Tc1 0.500 0.500 0.500
S1 0.500 0.500 0.000
Cl1 0.000 0.500 0.500
Cl2 0.500 0.000 0.500
# Relative energy among the computed polymorphs in kcal/mol of atoms: 0.00
# Crystal system: tetragonal
# Formation energy (no corrections) in kJ per mole of atoms: 44.7



(3)
# MnPOs2, relaxed, DFT PBE
data_MnPOs2
_chemical_formula_sum 'Mn2 P2 Os4'
_symmetry_space_group_name_H-M 'P 1'
_symmetry_Int_Tables_number 1
_cell_length_a 6.396
_cell_length_b 6.396
_cell_length_c 6.396
_cell_angle_alpha 131.22
_cell_angle_beta 131.22
_cell_angle_gamma 71.46
loop_
_symmetry_equiv_pos_as_xyz
'x,y,z'
loop_
_atom_site_label
_atom_site_fract_x
_atom_site_fract_y
_atom_site_fract_z
Mn1 0.000 0.000 0.000
Mn2 0.750 0.250 0.500
P1 0.250 0.750 0.500
P2 0.500 0.500 0.000
Os1 0.123 0.625 0.998
Os2 0.375 0.373 0.498
Os3 0.627 0.125 0.002
Os4 0.875 0.877 0.502
# E_form in eV per atom: 0.624
# Crystal system: tetragonal



(4)
# HoHgGe, relaxed, DFT PBE
data_HoHgGe
_chemical_formula_sum 'Ho1 Hg1 Ge1'
_symmetry_space_group_name_H-M 'P 1'
_symmetry_Int_Tables_number 1
_cell_length_a 5.913
_cell_length_b 5.913
_cell_length_c 5.913
_cell_angle_alpha 144.47
_cell_angle_beta 144.47
_cell_angle_gamma 51.13
loop_
_symmetry_equiv_pos_as_xyz
'x,y,z'
loop_
_atom_site_label
_atom_site_fract_x
_atom_site_fract_y
_atom_site_fract_z
Ho1 0.000 0.000 0.000
Hg1 0.322 0.322 0.000
Ge1 0.669 0.669 0.000
# E_form in eV per atom: -0.273
# Crystal system: tetragonal



(5)
# CaInSe2, relaxed, DFT PBE
data_CaInSe2
_chemical_formula_sum 'Ca1 In1 Se2'
_symmetry_space_group_name_H-M 'P 1'
_symmetry_Int_Tables_number 1
_cell_length_a 6.065
_cell_length_b 4.171
_cell_length_c 4.171
_cell_angle_alpha 90.00
_cell_angle_beta 90.00
_cell_angle_gamma 90.00
loop_
_symmetry_equiv_pos_as_xyz
'x,y,z'
loop_
_atom_site_label
_atom_site_fract_x
_atom_site_fract_y
_atom_site_fract_z
Ca1 0.000 0.000 0.000
In1 0.500 0.499 0.499
Se1 0.000 0.500 0.500
Se2 0.500 0.999 0.999
# Crystal system: orthorhombic
# Formation energy (no corrections) in kJ per mole of atoms: -117.4



(6)
# CaTl4Te, relaxed, DFT PBE
data_CaTl4Te
_chemical_formula_sum 'Ca1 Tl4 Te1'
_symmetry_space_group_name_H-M 'P 1'
_symmetry_Int_Tables_number 1
_cell_length_a 6.463
_cell_length_b 6.463
_cell_length_c 6.463
_cell_angle_alpha 60.00
_cell_angle_beta 60.00
_cell_angle_gamma 60.00
loop_
_symmetry_equiv_pos_as_xyz
'x,y,z'
loop_
_atom_site_label
_atom_site_fract_x
_atom_site_fract_y
_atom_site_fract_z
Ca1 0.000 0.000 0.000
Tl1 0.375 0.375 0.375
Tl2 0.375 0.375 0.875
Tl3 0.375 0.875 0.375
Tl4 0.875 0.375 0.375
Te1 0.750 0.750 0.750
# Crystal system: cubic
# Formation energy (no corrections) in kJ per mole of atoms: -10.4



(7)
# Re3PbCl, relaxed, DFT PBE
data_Re3PbCl
_chemical_formula_sum 'Re3 Pb1 Cl1'
_symmetry_space_group_name_H-M 'P 1'
_symmetry_Int_Tables_number 1
_cell_length_a 4.488
_cell_length_b 4.488
_cell_length_c 4.488
_cell_angle_alpha 90.00
_cell_angle_beta 90.00
_cell_angle_gamma 90.00
loop_
_symmetry_equiv_pos_as_xyz
'x,y,z'
loop_
_atom_site_label
_atom_site_fract_x
_atom_site_fract_y
_atom_site_fract_z
Re1 0.000 0.000 0.500
Re2 0.000 0.500 0.000
Re3 0.500 0.000 0.000
Pb1 0.500 0.500 0.500
Cl1 0.000 0.000 0.000
# Relative energy among the computed polymorphs in kcal/mol of atoms: 0.00
# Crystal system: cubic
# Formation energy (no corrections) in kJ per mole of atoms: 184.8



(8)
# VHgPb3, relaxed, DFT PBE
data_VHgPb3
_chemical_formula_sum 'V1 Hg1 Pb3'
_symmetry_space_group_name_H-M 'P 1'
_symmetry_Int_Tables_number 1
_cell_length_a 5.322
_cell_length_b 5.322
_cell_length_c 5.322
_cell_angle_alpha 90.00
_cell_angle_beta 90.00
_cell_angle_gamma 90.00
loop_
_symmetry_equiv_pos_as_xyz
'x,y,z'
loop_
_atom_site_label
_atom_site_fract_x
_atom_site_fract_y
_atom_site_fract_z
V1 0.000 0.000 0.000
Hg1 0.500 0.500 0.500
Pb1 0.000 0.000 0.500
Pb2 0.000 0.500 0.000
Pb3 0.500 0.000 0.000
# Relative energy among the computed polymorphs in kcal/mol of atoms: 0.00
# E_form in eV per atom: 0.266
# Crystal system: cubic



Number 3 is which compound?
MnPOs2



What is the formula in the seventh record?
Re3PbCl



What is the formula in the fourth record?
HoHgGe